Entry 1:
Compound: ZrTlAsClO
Source: Alexandria
Functional: PBE
Structure: relaxed

Properties
Spin magnetization (Bohr magnetons per cell): 0.000
ΔE to the lowest computed polymorph (meV/atom): 248

Cell lengths 3.4201, 5.9091, 6.8233 Å; angles 108.56, 96.36, 95.15 degrees
Closest atoms and distances in Å follow each position.
Element x y z (fractional)
Tl  0.0985  0.5818  0.1964  2 O 2.53-2.70
O  0.5414  0.3994  0.8928  1 Zr 1.85
Zr  0.4582  0.1254  0.6580  1 O 1.85
As  0.8875  0.1369  0.3366  2 Zr 2.79
Cl  0.9381  0.8523  0.7531  2 Zr 2.57

=====

Entry 2:
Compound: ZnPb3Se
Source: Alexandria
Functional: PBE
Structure: relaxed

Properties
Spin magnetization (Bohr magnetons per cell): 0.000
ΔE to the lowest computed polymorph (meV/atom): 0

Cell lengths 5.3733, 5.3733, 5.3733 Å; angles 90.00, 90.00, 90.00 degrees
Closest atoms and distances in Å follow each position.
Element x y z (fractional)
Pb  0.0000  0.5000  0.0000  2 Zn 2.69
Pb  0.5000  0.0000  0.0000  2 Zn 2.69
Pb  0.0000  0.0000  0.5000  2 Zn 2.69
Zn  0.0000  0.0000  0.0000  6 Pb 2.69
Se  0.5000  0.5000  0.5000  12 Pb 3.80

=====

Entry 3:
Compound: Ce2PmTl2
Source: Alexandria
Functional: PBE
Structure: relaxed

Properties
Spin magnetization (Bohr magnetons per cell): 0.541
DFT formation energy (eV per atom): -0.147

Cell lengths 4.3585, 4.3584, 8.2203 Å; angles 103.94, 103.94, 91.36 degrees
Closest atoms and distances in Å follow each position.
Element x y z (fractional)
Pm  0.0000  0.0000  0.0000  8 Tl 3.37-3.44
Tl  0.4140  0.4140  0.8103  1 Tl 2.93, 4 Ce 3.21-3.28
Tl  0.5860  0.5860  0.1897  1 Tl 2.93, 4 Ce 3.21-3.28
Ce  0.2209  0.7791  0.5000  3 Ce 2.76-3.07
Ce  0.7791  0.2209  0.5000  3 Ce 2.76-3.07

=====

Entry 4:
Compound: Zn2CdAg2Au2
Source: Alexandria
Functional: PBE
Structure: relaxed

Properties
Spin magnetization (Bohr magnetons per cell): 0.000
DFT formation energy (eV per atom): -0.105

Cell lengths 4.5086, 4.5086, 7.5754 Å; angles 72.69, 72.69, 60.00 degrees
Closest atoms and distances in Å follow each position.
Element x y z (fractional)
Cd  0.0000  0.0000  0.0000  2 Ag 2.90, 6 Au 2.92, 6 Zn 3.21
Au  0.7292  0.7292  0.8125  3 Zn 2.66, 1 Ag 2.88, 3 Cd 2.92
Au  0.2708  0.2708  0.1875  3 Zn 2.66, 1 Ag 2.88, 3 Cd 2.92
Zn  0.5789  0.5789  0.2632  3 Au 2.66, 3 Ag 2.80
Zn  0.4211  0.4211  0.7368  3 Au 2.66, 3 Ag 2.80
Ag  0.8642  0.8642  0.4075  3 Zn 2.80, 4 Au 2.88-3.04, 1 Cd 2.90, 3 Ag 2.92
Ag  0.1358  0.1358  0.5925  3 Zn 2.80, 4 Au 2.88-3.04, 1 Cd 2.90, 3 Ag 2.92

=====

Entry 5:
Compound: HoZnGe2
Source: Alexandria
Functional: PBE
Structure: relaxed

Properties
Spin magnetization (Bohr magnetons per cell): 0.000
DFT formation energy (eV per atom): -0.477

Cell lengths 4.0660, 4.0660, 9.7818 Å; angles 102.00, 102.00, 90.00 degrees
Closest atoms and distances in Å follow each position.
Element x y z (fractional)
Ge  0.3431  0.3431  0.6862  4 Zn 2.68, 4 Ho 2.98
Ge  0.0000  0.5000  0.0000  4 Ge 2.88, 4 Ho 2.97
Ge  0.5000  0.0000  0.0000  4 Ge 2.88, 4 Ho 2.97
Ge  0.6569  0.6569  0.3138  4 Zn 2.68, 4 Ho 2.98
Ho  0.1154  0.1155  0.2309  8 Ge 2.97-2.98, 4 Zn 3.23
Ho  0.8846  0.8845  0.7691  8 Ge 2.97-2.98, 4 Zn 3.23
Zn  0.7500  0.2500  0.5000  4 Ge 2.68, 4 Zn 2.88
Zn  0.2500  0.7500  0.5000  4 Ge 2.68, 4 Zn 2.88

=====

Entry 6:
Compound: Mg2Bi2Sb
Source: Alexandria
Functional: PBE
Structure: relaxed

Properties
Spin magnetization (Bohr magnetons per cell): 0.000
ΔE to the lowest computed polymorph (meV/atom): 34

Cell lengths 8.2186, 8.2186, 4.0065 Å; angles 90.00, 90.00, 90.00 degrees
Closest atoms and distances in Å follow each position.
Element x y z (fractional)
Bi  0.6760  0.8240  0.5000  6 Mg 3.02-3.24
Bi  0.8240  0.3240  0.5000  6 Mg 3.02-3.24
Bi  0.3240  0.1760  0.5000  6 Mg 3.02-3.24
Bi  0.1760  0.6760  0.5000  6 Mg 3.02-3.24
Sb  0.0000  0.0000  0.0000  4 Mg 3.22
Sb  0.5000  0.5000  0.0000  4 Mg 3.22
Mg  0.8700  0.6300  0.0000  6 Bi 3.02-3.24, 1 Mg 3.02, 2 Sb 3.22
Mg  0.3700  0.8700  0.0000  6 Bi 3.02-3.24, 1 Mg 3.02, 2 Sb 3.22
Mg  0.6300  0.1300  0.0000  6 Bi 3.02-3.24, 1 Mg 3.02, 2 Sb 3.22
Mg  0.1300  0.3700  0.0000  6 Bi 3.02-3.24, 1 Mg 3.02, 2 Sb 3.22

=====

Entry 7:
Compound: BaTlNiAu2
Source: Alexandria
Functional: PBE
Structure: relaxed

Properties
Spin magnetization (Bohr magnetons per cell): 0.000
DFT formation energy (eV per atom): -0.252

Cell lengths 5.1584, 5.1584, 4.9031 Å; angles 90.00, 90.00, 90.00 degrees
Closest atoms and distances in Å follow each position.
Element x y z (fractional)
Au  0.5000  0.0000  0.0000  2 Ni 2.58
Au  0.0000  0.5000  0.0000  2 Ni 2.58
Ni  0.0000  0.0000  0.0000  2 Tl 2.45, 4 Au 2.58
Ba  0.5000  0.5000  0.5000  8 Au 3.56, 4 Tl 3.65
Tl  0.0000  0.0000  0.5000  2 Ni 2.45

=====

Entry 8:
Compound: CaSc3Si
Source: Alexandria
Functional: PBE
Structure: relaxed

Properties
Spin magnetization (Bohr magnetons per cell): 0.000
ΔE to the lowest computed polymorph (meV/atom): 1372

Cell lengths 5.0035, 5.0035, 5.0035 Å; angles 90.00, 90.00, 90.00 degrees
Closest atoms and distances in Å follow each position.
Element x y z (fractional)
Sc  0.0000  0.0000  0.5000  2 Ca 2.50
Sc  0.5000  0.0000  0.0000  2 Ca 2.50
Sc  0.0000  0.5000  0.0000  2 Ca 2.50
Ca  0.0000  0.0000  0.0000  6 Sc 2.50
Si  0.5000  0.5000  0.5000  12 Sc 3.54

=====

Entry 9:
Compound: Cs3PaHg2S6
Source: Alexandria
Functional: PBE
Structure: relaxed

Properties
Spin magnetization (Bohr magnetons per cell): 0.000
Calculated total energy (hartree per atom): -0.150

Cell lengths 7.8045, 7.8045, 9.1109 Å; angles 90.00, 90.00, 120.00 degrees
Closest atoms and distances in Å follow each position.
Element x y z (fractional)
Cs  0.3333  0.6667  0.7130  1 Hg 3.57, 6 S 3.92
Cs  0.0000  0.0000  0.0000  6 S 3.51
Cs  0.6667  0.3333  0.2870  1 Hg 3.57, 6 S 3.92
Pa  0.0000  0.0000  0.5000  6 S 2.66
S  0.1512  0.8488  0.3132  1 Hg 2.46, 1 Pa 2.66
S  0.8488  0.6976  0.6868  1 Hg 2.46, 1 Pa 2.66
S  0.8488  0.1512  0.6868  1 Hg 2.46, 1 Pa 2.66
S  0.3024  0.1512  0.6868  1 Hg 2.46, 1 Pa 2.66
S  0.6976  0.8488  0.3132  1 Hg 2.46, 1 Pa 2.66
S  0.1512  0.3024  0.3132  1 Hg 2.46, 1 Pa 2.66
Hg  0.3333  0.6667  0.3212  3 S 2.46
Hg  0.6667  0.3333  0.6788  3 S 2.46

=====

Entry 10:
Compound: InGaAu3
Source: Alexandria
Functional: PBE
Structure: relaxed

Properties
Spin magnetization (Bohr magnetons per cell): 0.000
DFT formation energy (eV per atom): 0.416
ΔE to the lowest computed polymorph (meV/atom): 591

Cell lengths 5.2561, 5.2561, 5.2561 Å; angles 90.00, 90.00, 90.00 degrees
Closest atoms and distances in Å follow each position.
Element x y z (fractional)
Au  0.5000  0.0000  0.0000  2 In 2.63
Au  0.0000  0.0000  0.5000  2 In 2.63
Au  0.0000  0.5000  0.0000  2 In 2.63
In  0.0000  0.0000  0.0000  6 Au 2.63
Ga  0.5000  0.5000  0.5000  12 Au 3.72

=====

Entry 11:
Compound: BaAl2Si
Source: Alexandria
Functional: PBE
Structure: relaxed

Properties
Spin magnetization (Bohr magnetons per cell): 0.000
Calculated total energy (hartree per atom): -0.133

Cell lengths 5.7430, 5.7430, 5.7430 Å; angles 138.93, 111.82, 82.79 degrees
Closest atoms and distances in Å follow each position.
Element x y z (fractional)
Al  0.0725  0.0725  0.0000  2 Si 2.53
Al  0.4275  0.4275  0.0000  2 Si 2.53
Ba  0.7500  0.2500  0.5000  8 Al 3.43-3.56, 4 Si 3.80
Si  0.2500  0.7500  0.5000  4 Al 2.53

=====

Entry 12:
Compound: MgP2Ru
Source: Alexandria
Functional: PBE
Structure: relaxed

Properties
Spin magnetization (Bohr magnetons per cell): 0.000
DFT formation energy (eV per atom): 0.036

Cell lengths 4.9596, 4.9596, 4.9596 Å; angles 136.28, 136.28, 63.54 degrees
Closest atoms and distances in Å follow each position.
Element x y z (fractional)
P  0.0000  0.0000  0.0000  4 Ru 2.61, 4 Mg 2.80, 4 P 2.80
P  0.2500  0.7500  0.5000  4 Mg 2.61, 4 P 2.80, 4 Ru 2.80
Ru  0.5000  0.5000  0.0000  8 P 2.61-2.80, 4 Mg 2.80
Mg  0.7500  0.2500  0.5000  8 P 2.61-2.80, 4 Ru 2.80

=====

Entry 13:
Compound: YMoP4
Source: Alexandria
Functional: PBE
Structure: relaxed

Properties
Spin magnetization (Bohr magnetons per cell): 0.007
DFT formation energy (eV per atom): 0.300

Cell lengths 5.1592, 5.1592, 5.1592 Å; angles 60.00, 60.00, 60.00 degrees
Closest atoms and distances in Å follow each position.
Element x y z (fractional)
Mo  0.0000  0.0000  0.0000  12 P 3.02, 4 Y 3.16
P  0.6279  0.1162  0.6279  6 P 2.52-2.64
P  0.6279  0.6279  0.6279  6 P 2.52-2.64
P  0.1162  0.6279  0.6279  6 P 2.52-2.64
P  0.6279  0.6279  0.1162  6 P 2.52-2.64
Y  0.2500  0.2500  0.2500  12 P 3.03, 4 Mo 3.16

=====

Entry 14:
Compound: Ce3HgRh
Source: Alexandria
Functional: PBE
Structure: relaxed

Properties
Spin magnetization (Bohr magnetons per cell): 6.454
DFT formation energy (eV per atom): -0.349

Cell lengths 6.7598, 8.9980, 8.9980 Å; angles 66.58, 90.00, 90.00 degrees
Closest atoms and distances in Å follow each position.
Element x y z (fractional)
Rh  0.7500  0.5002  0.9998  8 Ce 2.82-3.07
Rh  0.2500  0.4998  0.0002  8 Ce 2.82-3.07
Rh  0.2500  0.9998  0.5002  8 Ce 2.82-3.07
Rh  0.7500  0.0002  0.4998  8 Ce 2.82-3.07
Ce  0.0001  0.3372  0.8627  2 Rh 2.82, 2 Ce 3.01-3.04
Ce  0.5001  0.8627  0.3372  2 Rh 2.82, 2 Ce 3.01-3.04
Ce  0.9999  0.6628  0.1373  2 Rh 2.82, 2 Ce 3.01-3.04
Ce  0.0000  0.7051  0.7051  4 Ce 3.04-3.38, 4 Rh 3.07
Ce  0.0000  0.2949  0.2949  4 Ce 3.04-3.38, 4 Rh 3.07
Ce  0.4999  0.1373  0.6628  2 Rh 2.82, 2 Ce 3.01-3.04
Ce  0.5001  0.6628  0.1373  2 Rh 2.82, 2 Ce 3.01-3.04
Ce  0.4999  0.3372  0.8627  2 Rh 2.82, 2 Ce 3.01-3.04
Ce  0.9999  0.8627  0.3372  2 Rh 2.82, 2 Ce 3.01-3.04
Ce  0.0001  0.1373  0.6628  2 Rh 2.82, 2 Ce 3.01-3.04
Ce  0.5000  0.7051  0.7051  4 Ce 3.04-3.38, 4 Rh 3.07
Ce  0.5000  0.2949  0.2949  4 Ce 3.04-3.38, 4 Rh 3.07
Hg  0.2500  0.4999  0.5001  2 Hg 3.38, 12 Ce 3.44-3.52
Hg  0.7500  0.0000  0.0000  8 Ce 3.26, 2 Hg 3.38
Hg  0.7500  0.5001  0.4999  2 Hg 3.38, 12 Ce 3.44-3.52
Hg  0.2500  0.0000  0.0000  8 Ce 3.26, 2 Hg 3.38

=====

Entry 15:
Compound: DyLuZrCd
Source: Alexandria
Functional: PBE
Structure: relaxed

Properties
Spin magnetization (Bohr magnetons per cell): 2.006
DFT formation energy (eV per atom): 0.052

Cell lengths 5.2715, 5.2715, 5.2715 Å; angles 60.00, 60.00, 60.00 degrees
Closest atoms and distances in Å follow each position.
Element x y z (fractional)
Lu  0.5000  0.5000  0.5000  4 Zr 3.23, 4 Cd 3.23
Zr  0.2500  0.2500  0.2500  4 Dy 3.23, 4 Lu 3.23
Dy  0.0000  0.0000  0.0000  4 Cd 3.23, 4 Zr 3.23
Cd  0.7500  0.7500  0.7500  4 Dy 3.23, 4 Lu 3.23